{"formula": "CaHgAs", "functional": "GGA-PBE", "state": "optimized geometry", "lattice": [[4.263, -5.722, 0.000], [4.263, 5.722, 0.000], [-4.203, 0.000, 6.865]], "species": ["Ca", "Ca", "Ca", "Ca", "Hg", "Hg", "Hg", "Hg", "As", "As", "As", "As"], "fractional_positions": [[0.078, 0.922, 0.500], [0.346, 0.503, 0.591], [0.503, 0.346, 0.091], [0.922, 0.078, 0.000], [0.117, 0.637, 0.112], [0.615, 0.865, 0.172], [0.637, 0.117, 0.612], [0.865, 0.615, 0.672], [0.092, 0.325, 0.791], [0.325, 0.092, 0.291], [0.453, 0.952, 0.808], [0.952, 0.453, 0.308]], "formation_energy_ev_per_atom": -0.5910, "magnetic_moment_mub_per_atom": 0.000, "relative_energy_kj_per_mol_fu": 0}

{"formula": "CaSi4Ni", "functional": "GGA-PBE", "state": "optimized geometry", "lattice": [[0.000, 3.640, 3.640], [3.640, 0.000, 3.640], [3.640, 3.640, 0.000]], "species": ["Ca", "Si", "Si", "Si", "Si", "Ni"], "fractional_positions": [[0.000, 0.000, 0.000], [0.377, 0.377, 0.377], [0.377, 0.377, 0.870], [0.377, 0.870, 0.377], [0.870, 0.377, 0.377], [0.750, 0.750, 0.750]], "magnetic_moment_mub_per_atom": 0.000, "formation_energy_uncorrected_ev_per_fu": 1.04}

{"formula": "Re2Si2Se", "functional": "GGA-PBE", "state": "optimized geometry", "lattice": [[-1.707, 1.707, 6.573], [1.707, -1.707, 6.573], [1.707, 1.707, -6.573]], "species": ["Re", "Re", "Si", "Si", "Se"], "fractional_positions": [[0.116, 0.116, 0.000], [0.884, 0.884, 0.000], [0.250, 0.750, 0.500], [0.750, 0.250, 0.500], [0.500, 0.500, 0.000]], "magnetic_moment_mub_per_atom": 0.000, "formation_energy_uncorrected_ev_per_fu": 0.62, "relative_energy_kj_per_mol_fu": 0}

{"formula": "Sc2ZnCo", "functional": "GGA-PBE", "state": "optimized geometry", "lattice": [[-1.563, 2.270, 4.897], [1.563, -2.270, 4.897], [1.563, 2.270, -4.897]], "species": ["Sc", "Sc", "Zn", "Co"], "fractional_positions": [[0.000, 0.000, 0.000], [0.705, 0.205, 0.500], [0.286, 0.786, 0.500], [0.487, 0.487, 0.000]], "formation_energy_ev_per_atom": -0.2105, "magnetic_moment_mub_per_atom": 0.080}

{"formula": "Bi2Pd7Pb3", "functional": "GGA-PBE", "state": "optimized geometry", "lattice": [[4.155, 0.000, 0.000], [0.000, 3.964, 0.000], [-2.039, 0.000, 15.665]], "species": ["Bi", "Bi", "Pd", "Pd", "Pd", "Pd", "Pd", "Pd", "Pd", "Pb", "Pb", "Pb"], "fractional_positions": [[0.128, 0.000, 0.257], [0.872, 0.000, 0.743], [0.066, 0.500, 0.134], [0.219, 0.000, 0.438], [0.431, 0.000, 0.861], [0.500, 0.500, 0.000], [0.569, 0.000, 0.139], [0.781, 0.000, 0.562], [0.934, 0.500, 0.866], [0.000, 0.000, 0.000], [0.296, 0.500, 0.593], [0.704, 0.500, 0.407]], "formation_energy_ev_per_atom": -0.1863, "magnetic_moment_mub_per_atom": 0.000}

{"formula": "La3PmAg", "functional": "GGA-PBE", "state": "optimized geometry", "lattice": [[5.411, -3.543, 0.000], [5.411, 3.543, 0.000], [-2.925, 0.000, 8.501]], "species": ["La", "La", "La", "La", "La", "La", "Pm", "Pm", "Ag", "Ag"], "fractional_positions": [[0.047, 0.047, 0.191], [0.083, 0.601, 0.369], [0.399, 0.917, 0.631], [0.601, 0.083, 0.369], [0.917, 0.399, 0.631], [0.953, 0.953, 0.809], [0.321, 0.321, 0.008], [0.679, 0.679, 0.992], [0.426, 0.426, 0.701], [0.574, 0.574, 0.299]], "formation_energy_ev_per_atom": -0.0243, "magnetic_moment_mub_per_atom": 0.000, "relative_energy_kj_per_mol_fu": 25}

{"formula": "BaTe2IN", "functional": "GGA-PBE", "state": "optimized geometry", "lattice": [[4.932, 0.000, 0.000], [0.000, 4.932, 0.000], [0.000, 0.000, 5.638]], "species": ["Ba", "Te", "Te", "I", "N"], "fractional_positions": [[0.000, 0.000, 0.000], [0.000, 0.500, 0.500], [0.500, 0.000, 0.500], [0.500, 0.500, 0.000], [0.500, 0.500, 0.500]], "magnetic_moment_mub_per_atom": 0.000, "formation_energy_uncorrected_ev_per_fu": -0.49, "relative_energy_kj_per_mol_fu": 0}

{"formula": "LaZn3Ag2", "functional": "GGA-PBE", "state": "optimized geometry", "lattice": [[4.991, -4.316, 0.000], [4.991, 4.316, 0.000], [0.000, 0.000, 5.631]], "species": ["La", "La", "Zn", "Zn", "Zn", "Zn", "Zn", "Zn", "Ag", "Ag", "Ag", "Ag"], "fractional_positions": [[0.177, 0.823, 0.750], [0.823, 0.177, 0.250], [0.058, 0.616, 0.250], [0.384, 0.942, 0.250], [0.445, 0.555, 0.250], [0.555, 0.445, 0.750], [0.616, 0.058, 0.750], [0.942, 0.384, 0.750], [0.276, 0.276, 0.000], [0.276, 0.276, 0.500], [0.724, 0.724, 0.000], [0.724, 0.724, 0.500]], "formation_energy_ev_per_atom": -0.2120, "magnetic_moment_mub_per_atom": 0.000}

{"formula": "Sc2TcHAu", "functional": "GGA-PBE", "state": "optimized geometry", "lattice": [[4.647, 0.000, 0.000], [0.000, 4.647, 0.000], [0.000, 0.000, 3.491]], "species": ["Sc", "Sc", "Tc", "H", "Au"], "fractional_positions": [[0.000, 0.500, 0.000], [0.500, 0.000, 0.000], [0.000, 0.000, 0.500], [0.000, 0.000, 0.000], [0.500, 0.500, 0.500]], "magnetic_moment_mub_per_atom": 0.000, "dft_energy_ev_per_atom": -6.448}

{"formula": "TaTl2Rh", "functional": "GGA-PBE", "state": "optimized geometry", "lattice": [[5.530, -1.558, 0.000], [5.530, 1.558, 0.000], [-2.477, 0.000, 4.631]], "species": ["Ta", "Tl", "Tl", "Rh"], "fractional_positions": [[0.000, 0.000, 0.000], [0.235, 0.235, 0.736], [0.765, 0.765, 0.264], [0.500, 0.500, 0.500]], "formation_energy_ev_per_atom": 0.4348, "magnetic_moment_mub_per_atom": 0.000, "relative_energy_kj_per_mol_fu": 130}

{"formula": "BeCrP", "functional": "GGA-PBE", "state": "optimized geometry", "lattice": [[1.612, 0.931, 3.813], [-1.612, 0.931, 3.813], [0.000, -1.862, 3.813]], "species": ["Be", "Cr", "P"], "fractional_positions": [[0.000, 0.000, 0.000], [0.209, 0.209, 0.209], [0.421, 0.421, 0.421]], "formation_energy_ev_per_atom": -0.2508, "magnetic_moment_mub_per_atom": 0.000, "relative_energy_kj_per_mol_fu": 36}

{"formula": "BaPmI", "functional": "GGA-PBE", "state": "optimized geometry", "lattice": [[4.172, 0.000, 0.000], [-2.086, 3.613, 0.000], [0.000, 0.000, 16.411]], "species": ["Ba", "Ba", "Pm", "Pm", "I", "I"], "fractional_positions": [[0.000, 0.000, 0.166], [0.000, 0.000, 0.834], [0.333, 0.667, 0.360], [0.333, 0.667, 0.640], [0.667, 0.333, 0.000], [0.667, 0.333, 0.500]], "magnetic_moment_mub_per_atom": 0.010, "formation_energy_uncorrected_ev_per_fu": -1.76}